No. 1
Tm7Cd2Ru2: optimized geometry, PBE.

density	8.94	Mg/m³
D(E_F)	0.738	states/eV per atom
ΔH_f (0 K)	-227	kJ/mol of formula units

```
data_Tm7Cd2Ru2
_chemical_formula_sum 'Tm7 Cd2 Ru2'
_cell_length_a 6.653
_cell_length_b 6.653
_cell_length_c 7.083
_cell_angle_alpha 90.00
_cell_angle_beta 90.00
_cell_angle_gamma 107.54
_symmetry_space_group_name_H-M 'P 1'
_symmetry_Int_Tables_number 1
loop_
_symmetry_equiv_pos_as_xyz
'x,y,z'
loop_
_atom_site_label
_atom_site_type_symbol
_atom_site_fract_x
_atom_site_fract_y
_atom_site_fract_z
Tm1 Tm 0.000 0.000 0.000
Tm2 Tm 0.000 0.500 0.251
Tm3 Tm 0.000 0.500 0.749
Tm4 Tm 0.500 0.000 0.251
Tm5 Tm 0.500 0.000 0.749
Tm6 Tm 0.500 0.500 0.240
Tm7 Tm 0.500 0.500 0.760
Cd1 Cd 0.178 0.178 0.500
Cd2 Cd 0.822 0.822 0.500
Ru1 Ru 0.293 0.707 0.000
Ru2 Ru 0.707 0.293 0.000
```

No. 2
Tm8Cd2Ru: optimized geometry, PBE.

density	9.53	Mg/m³
D(E_F)	0.670	states/eV per atom
ΔH_f (0 K)	-225	kJ/mol of formula units

```
data_Tm8Cd2Ru
_chemical_formula_sum 'Tm8 Cd2 Ru1'
_cell_length_a 8.983
_cell_length_b 8.983
_cell_length_c 6.887
_cell_angle_alpha 109.96
_cell_angle_beta 109.96
_cell_angle_gamma 34.27
_symmetry_space_group_name_H-M 'P 1'
_symmetry_Int_Tables_number 1
loop_
_symmetry_equiv_pos_as_xyz
'x,y,z'
loop_
_atom_site_label
_atom_site_type_symbol
_atom_site_fract_x
_atom_site_fract_y
_atom_site_fract_z
Tm1 Tm 0.020 0.020 0.286
Tm2 Tm 0.195 0.195 0.777
Tm3 Tm 0.349 0.349 0.555
Tm4 Tm 0.406 0.406 0.084
Tm5 Tm 0.594 0.594 0.916
Tm6 Tm 0.651 0.651 0.445
Tm7 Tm 0.805 0.805 0.223
Tm8 Tm 0.980 0.980 0.714
Cd1 Cd 0.182 0.182 0.199
Cd2 Cd 0.818 0.818 0.801
Ru1 Ru 0.500 0.500 0.500
```

No. 3
Tm3CdRu: optimized geometry, PBE.

density	9.06	Mg/m³
D(E_F)	0.556	states/eV per atom
ΔH_f (0 K)	-119	kJ/mol of formula units

```
data_Tm3CdRu
_chemical_formula_sum 'Tm6 Cd2 Ru2'
_cell_length_a 9.027
_cell_length_b 9.027
_cell_length_c 3.490
_cell_angle_alpha 90.00
_cell_angle_beta 90.00
_cell_angle_gamma 111.78
_symmetry_space_group_name_H-M 'P 1'
_symmetry_Int_Tables_number 1
loop_
_symmetry_equiv_pos_as_xyz
'x,y,z'
loop_
_atom_site_label
_atom_site_type_symbol
_atom_site_fract_x
_atom_site_fract_y
_atom_site_fract_z
Tm1 Tm 0.179 0.409 0.500
Tm2 Tm 0.193 0.807 0.000
Tm3 Tm 0.409 0.179 0.500
Tm4 Tm 0.591 0.821 0.500
Tm5 Tm 0.807 0.193 0.000
Tm6 Tm 0.821 0.591 0.500
Cd1 Cd 0.000 0.000 0.500
Cd2 Cd 0.500 0.500 0.000
Ru1 Ru 0.000 0.500 0.000
Ru2 Ru 0.500 0.000 0.000
```

No. 4
Tm6CdRu5: optimized geometry, PBE.

density	11.45	Mg/m³
D(E_F)	0.516	states/eV per atom
ΔH_f (0 K)	-498	kJ/mol of formula units

```
data_Tm6CdRu5
_chemical_formula_sum 'Tm6 Cd1 Ru5'
_cell_length_a 4.812
_cell_length_b 6.849
_cell_length_c 7.566
_cell_angle_alpha 90.00
_cell_angle_beta 108.43
_cell_angle_gamma 90.00
_symmetry_space_group_name_H-M 'P 1'
_symmetry_Int_Tables_number 1
loop_
_symmetry_equiv_pos_as_xyz
'x,y,z'
loop_
_atom_site_label
_atom_site_type_symbol
_atom_site_fract_x
_atom_site_fract_y
_atom_site_fract_z
Tm1 Tm 0.000 0.234 0.000
Tm2 Tm 0.000 0.766 0.000
Tm3 Tm 0.327 0.244 0.654
Tm4 Tm 0.327 0.756 0.654
Tm5 Tm 0.673 0.244 0.346
Tm6 Tm 0.673 0.756 0.346
Cd1 Cd 0.500 0.500 0.000
Ru1 Ru 0.164 0.500 0.327
Ru2 Ru 0.166 0.000 0.332
Ru3 Ru 0.500 0.000 0.000
Ru4 Ru 0.834 0.000 0.668
Ru5 Ru 0.836 0.500 0.673
```

No. 5
Tm2Zn5CdRu2: optimized geometry, PBE.

density	8.91	Mg/m³
D(E_F)	0.550	states/eV per atom
ΔH_f (0 K)	-187	kJ/mol of formula units

```
data_Tm2Zn5CdRu2
_chemical_formula_sum 'Tm4 Zn10 Cd2 Ru4'
_cell_length_a 9.368
_cell_length_b 9.368
_cell_length_c 4.158
_cell_angle_alpha 90.00
_cell_angle_beta 90.00
_cell_angle_gamma 90.00
_symmetry_space_group_name_H-M 'P 1'
_symmetry_Int_Tables_number 1
loop_
_symmetry_equiv_pos_as_xyz
'x,y,z'
loop_
_atom_site_label
_atom_site_type_symbol
_atom_site_fract_x
_atom_site_fract_y
_atom_site_fract_z
Tm1 Tm 0.173 0.327 0.000
Tm2 Tm 0.327 0.827 0.000
Tm3 Tm 0.673 0.173 0.000
Tm4 Tm 0.827 0.673 0.000
Zn1 Zn 0.000 0.500 0.500
Zn2 Zn 0.066 0.787 0.500
Zn3 Zn 0.213 0.066 0.500
Zn4 Zn 0.287 0.566 0.500
Zn5 Zn 0.434 0.287 0.500
Zn6 Zn 0.500 0.000 0.500
Zn7 Zn 0.566 0.713 0.500
Zn8 Zn 0.713 0.434 0.500
Zn9 Zn 0.787 0.934 0.500
Zn10 Zn 0.934 0.213 0.500
Cd1 Cd 0.000 0.000 0.000
Cd2 Cd 0.500 0.500 0.000
Ru1 Ru 0.122 0.622 0.000
Ru2 Ru 0.378 0.122 0.000
Ru3 Ru 0.622 0.878 0.000
Ru4 Ru 0.878 0.378 0.000
```

No. 6
V2CdRu2: optimized geometry, PBE.

density	9.00	Mg/m³
D(E_F)	0.847	states/eV per atom
ΔH_f (0 K)	-8	kJ/mol of formula units

```
data_V2CdRu2
_chemical_formula_sum 'V4 Cd2 Ru4'
_cell_length_a 7.338
_cell_length_b 7.338
_cell_length_c 2.853
_cell_angle_alpha 90.00
_cell_angle_beta 90.00
_cell_angle_gamma 90.00
_symmetry_space_group_name_H-M 'P 1'
_symmetry_Int_Tables_number 1
loop_
_symmetry_equiv_pos_as_xyz
'x,y,z'
loop_
_atom_site_label
_atom_site_type_symbol
_atom_site_fract_x
_atom_site_fract_y
_atom_site_fract_z
V1 V 0.153 0.347 0.000
V2 V 0.347 0.847 0.000
V3 V 0.653 0.153 0.000
V4 V 0.847 0.653 0.000
Cd1 Cd 0.000 0.000 0.500
Cd2 Cd 0.500 0.500 0.500
Ru1 Ru 0.140 0.640 0.500
Ru2 Ru 0.360 0.140 0.500
Ru3 Ru 0.640 0.860 0.500
Ru4 Ru 0.860 0.360 0.500
```

No. 7
VCdRu2: optimized geometry, PBE.

density	9.91	Mg/m³
D(E_F)	1.083	states/eV per atom
ΔH_f (0 K)	-17	kJ/mol of formula units

```
data_VCdRu2
_chemical_formula_sum 'V1 Cd1 Ru2'
_cell_length_a 3.010
_cell_length_b 3.010
_cell_length_c 6.759
_cell_angle_alpha 90.00
_cell_angle_beta 90.00
_cell_angle_gamma 90.00
_symmetry_space_group_name_H-M 'P 1'
_symmetry_Int_Tables_number 1
loop_
_symmetry_equiv_pos_as_xyz
'x,y,z'
loop_
_atom_site_label
_atom_site_type_symbol
_atom_site_fract_x
_atom_site_fract_y
_atom_site_fract_z
V1 V 0.000 0.000 0.000
Cd1 Cd 0.000 0.000 0.500
Ru1 Ru 0.500 0.500 0.211
Ru2 Ru 0.500 0.500 0.789
```

No. 8
V2CdRu: optimized geometry, PBE.

density	7.76	Mg/m³
D(E_F)	1.058	states/eV per atom
ΔH_f (0 K)	193	kJ/mol of formula units

```
data_V2CdRu
_chemical_formula_sum 'V8 Cd4 Ru4'
_cell_length_a 7.086
_cell_length_b 7.086
_cell_length_c 5.377
_cell_angle_alpha 90.00
_cell_angle_beta 90.00
_cell_angle_gamma 90.00
_symmetry_space_group_name_H-M 'P 1'
_symmetry_Int_Tables_number 1
loop_
_symmetry_equiv_pos_as_xyz
'x,y,z'
loop_
_atom_site_label
_atom_site_type_symbol
_atom_site_fract_x
_atom_site_fract_y
_atom_site_fract_z
V1 V 0.200 0.750 0.125
V2 V 0.250 0.200 0.875
V3 V 0.250 0.300 0.375
V4 V 0.300 0.750 0.625
V5 V 0.700 0.250 0.625
V6 V 0.750 0.700 0.375
V7 V 0.750 0.800 0.875
V8 V 0.800 0.250 0.125
Cd1 Cd 0.000 0.000 0.500
Cd2 Cd 0.000 0.500 0.750
Cd3 Cd 0.500 0.000 0.250
Cd4 Cd 0.500 0.500 0.000
Ru1 Ru 0.000 0.000 0.000
Ru2 Ru 0.000 0.500 0.250
Ru3 Ru 0.500 0.000 0.750
Ru4 Ru 0.500 0.500 0.500
```

No. 9
V2CdRu3: optimized geometry, PBE.

density	9.66	Mg/m³
D(E_F)	0.366	states/eV per atom
ΔH_f (0 K)	-114	kJ/mol of formula units

```
data_V2CdRu3
_chemical_formula_sum 'V2 Cd1 Ru3'
_cell_length_a 3.023
_cell_length_b 3.023
_cell_length_c 9.732
_cell_angle_alpha 90.00
_cell_angle_beta 90.00
_cell_angle_gamma 90.00
_symmetry_space_group_name_H-M 'P 1'
_symmetry_Int_Tables_number 1
loop_
_symmetry_equiv_pos_as_xyz
'x,y,z'
loop_
_atom_site_label
_atom_site_type_symbol
_atom_site_fract_x
_atom_site_fract_y
_atom_site_fract_z
V1 V 0.000 0.000 0.162
V2 V 0.000 0.000 0.838
Cd1 Cd 0.000 0.000 0.500
Ru1 Ru 0.500 0.500 0.000
Ru2 Ru 0.500 0.500 0.294
Ru3 Ru 0.500 0.500 0.706
```

No. 10
V2CdRu: optimized geometry, PBE.

density	8.52	Mg/m³
D(E_F)	1.457	states/eV per atom
ΔH_f (0 K)	122	kJ/mol of formula units

```
data_V2CdRu
_chemical_formula_sum 'V8 Cd4 Ru4'
_cell_length_a 6.265
_cell_length_b 6.265
_cell_length_c 6.265
_cell_angle_alpha 90.00
_cell_angle_beta 90.00
_cell_angle_gamma 90.00
_symmetry_space_group_name_H-M 'P 1'
_symmetry_Int_Tables_number 1
loop_
_symmetry_equiv_pos_as_xyz
'x,y,z'
loop_
_atom_site_label
_atom_site_type_symbol
_atom_site_fract_x
_atom_site_fract_y
_atom_site_fract_z
V1 V 0.250 0.250 0.250
V2 V 0.250 0.250 0.750
V3 V 0.250 0.750 0.250
V4 V 0.250 0.750 0.750
V5 V 0.750 0.250 0.250
V6 V 0.750 0.250 0.750
V7 V 0.750 0.750 0.250
V8 V 0.750 0.750 0.750
Cd1 Cd 0.000 0.000 0.000
Cd2 Cd 0.000 0.500 0.500
Cd3 Cd 0.500 0.000 0.500
Cd4 Cd 0.500 0.500 0.000
Ru1 Ru 0.000 0.000 0.500
Ru2 Ru 0.000 0.500 0.000
Ru3 Ru 0.500 0.000 0.000
Ru4 Ru 0.500 0.500 0.500
```

No. 11
V3CdRu: optimized geometry, PBE.

density	6.39	Mg/m³
D(E_F)	1.394	states/eV per atom
ΔH_f (0 K)	442	kJ/mol of formula units

```
data_V3CdRu
_chemical_formula_sum 'V3 Cd1 Ru1'
_cell_length_a 4.565
_cell_length_b 4.565
_cell_length_c 4.565
_cell_angle_alpha 90.00
_cell_angle_beta 90.00
_cell_angle_gamma 90.00
_symmetry_space_group_name_H-M 'P 1'
_symmetry_Int_Tables_number 1
loop_
_symmetry_equiv_pos_as_xyz
'x,y,z'
loop_
_atom_site_label
_atom_site_type_symbol
_atom_site_fract_x
_atom_site_fract_y
_atom_site_fract_z
V1 V 0.000 0.000 0.500
V2 V 0.000 0.500 0.000
V3 V 0.500 0.000 0.000
Cd1 Cd 0.500 0.500 0.500
Ru1 Ru 0.000 0.000 0.000
```

No. 12
V2CdRu2: optimized geometry, PBE.

density	9.01	Mg/m³
D(E_F)	0.953	states/eV per atom
ΔH_f (0 K)	18	kJ/mol of formula units

```
data_V2CdRu2
_chemical_formula_sum 'V4 Cd2 Ru4'
_cell_length_a 7.381
_cell_length_b 7.381
_cell_length_c 2.818
_cell_angle_alpha 90.00
_cell_angle_beta 90.00
_cell_angle_gamma 90.00
_symmetry_space_group_name_H-M 'P 1'
_symmetry_Int_Tables_number 1
loop_
_symmetry_equiv_pos_as_xyz
'x,y,z'
loop_
_atom_site_label
_atom_site_type_symbol
_atom_site_fract_x
_atom_site_fract_y
_atom_site_fract_z
V1 V 0.140 0.360 0.000
V2 V 0.360 0.860 0.000
V3 V 0.640 0.140 0.000
V4 V 0.860 0.640 0.000
Cd1 Cd 0.000 0.000 0.000
Cd2 Cd 0.500 0.500 0.000
Ru1 Ru 0.151 0.651 0.500
Ru2 Ru 0.349 0.151 0.500
Ru3 Ru 0.651 0.849 0.500
Ru4 Ru 0.849 0.349 0.500
```

No. 13
VCdRu2: optimized geometry, PBE.

density	8.67	Mg/m³
D(E_F)	1.278	states/eV per atom
ΔH_f (0 K)	285	kJ/mol of formula units

```
data_VCdRu2
_chemical_formula_sum 'V4 Cd4 Ru8'
_cell_length_a 4.022
_cell_length_b 4.022
_cell_length_c 17.310
_cell_angle_alpha 90.00
_cell_angle_beta 90.00
_cell_angle_gamma 90.00
_symmetry_space_group_name_H-M 'P 1'
_symmetry_Int_Tables_number 1
loop_
_symmetry_equiv_pos_as_xyz
'x,y,z'
loop_
_atom_site_label
_atom_site_type_symbol
_atom_site_fract_x
_atom_site_fract_y
_atom_site_fract_z
V1 V 0.000 0.000 0.000
V2 V 0.000 0.500 0.250
V3 V 0.500 0.000 0.750
V4 V 0.500 0.500 0.500
Cd1 Cd 0.000 0.000 0.500
Cd2 Cd 0.000 0.500 0.750
Cd3 Cd 0.500 0.000 0.250
Cd4 Cd 0.500 0.500 0.000
Ru1 Ru 0.182 0.250 0.125
Ru2 Ru 0.250 0.682 0.375
Ru3 Ru 0.250 0.818 0.875
Ru4 Ru 0.318 0.250 0.625
Ru5 Ru 0.682 0.750 0.625
Ru6 Ru 0.750 0.182 0.875
Ru7 Ru 0.750 0.318 0.375
Ru8 Ru 0.818 0.750 0.125
```